1.
## NdEuBi (GGA-PBE)

Data for NdEuBi after structural relaxation.

```
data_NdEuBi
_chemical_formula_sum 'Nd1 Eu1 Bi1'
_cell_length_a 4.327
_cell_length_b 5.321
_cell_length_c 5.321
_cell_angle_alpha 120.00
_cell_angle_beta 90.00
_cell_angle_gamma 90.00
_symmetry_space_group_name_H-M 'P 1'
_symmetry_Int_Tables_number 1
_symmetry_space_group_name_Hall 'P 1'
loop_
_atom_site_label
_atom_site_type_symbol
_atom_site_fract_x
_atom_site_fract_y
_atom_site_fract_z
Bi1 Bi 0.288 0.333 0.667
Eu1 Eu 0.629 0.667 0.333
Nd1 Nd 0.083 0.000 0.000
```

DOS at the Fermi energy (states/eV/cell): 3.04
SG: P3m1 (156)
Total DFT energy (no corrections) (eV per formula unit): -20.07
V (Å³/atom): 35.36



2.
## NdEuBi2 (GGA-PBE)

Data for NdEuBi2 after structural relaxation.

```
data_NdEuBi2
_chemical_formula_sum 'Nd1 Eu1 Bi2'
_cell_length_a 5.685
_cell_length_b 5.685
_cell_length_c 5.685
_cell_angle_alpha 60.00
_cell_angle_beta 60.00
_cell_angle_gamma 60.00
_symmetry_space_group_name_H-M 'P 1'
_symmetry_Int_Tables_number 1
_symmetry_space_group_name_Hall 'P 1'
loop_
_atom_site_label
_atom_site_type_symbol
_atom_site_fract_x
_atom_site_fract_y
_atom_site_fract_z
Nd1 Nd 0.500 0.500 0.500
Bi1 Bi 0.750 0.750 0.750
Bi2 Bi 0.250 0.250 0.250
Eu1 Eu 0.000 0.000 0.000
```

Offset from the most stable computed form (meV/atom): 117.2
DOS at the Fermi energy (states/eV/cell): 3.24
SG: Fm-3m (225)
Total DFT energy (no corrections) (eV per formula unit): -25.66
V (Å³/atom): 32.48



Number 1: E_form -381 meV/atom. Number 2: E_form -714 meV/atom.